(1)
Crystalline Li2Co5As3H2 at its relaxed geometry, computed with GGA-PBE.

Final energy in eV/cell: -62.98
Space-group type: I4/mmm (139)

abc: 10.2464 10.2464 10.2464
angles: 159.30 159.30 29.44
Closest atoms and distances in Å follow each position.
Element x y z (fractional)
Li  0.1972  0.1972  0.0000  1 H 2.16
Li  0.8028  0.8028  0.0000  1 H 2.16
Co  0.0000  0.0000  0.0000  2 H 1.75
Co  0.0908  0.5908  0.5000  2 H 1.84
Co  0.4092  0.9092  0.5000  2 H 1.84
Co  0.5908  0.0908  0.5000  2 H 1.84
Co  0.9092  0.4092  0.5000  2 H 1.84
As  0.3322  0.3322  0.0000  4 Co 2.39, 5 Li 2.67-2.68
As  0.5000  0.5000  0.0000  12 Co 2.57-2.60
As  0.6678  0.6678  0.0000  4 Co 2.39, 5 Li 2.67-2.68
H  0.0883  0.0883  0.0000  5 Co 1.75-1.84
H  0.9117  0.9117  0.0000  5 Co 1.75-1.84


(2)
Crystalline HClF at its relaxed geometry, computed with GGA-PBE.

Final energy in eV/cell: -8.69
Space-group type: I4mm (107)
Energy relative to the lowest polymorph listed for this composition in meV/atom: 411.3

abc: 4.3161 4.3161 4.3161
angles: 123.63 123.63 83.81
Closest atoms and distances in Å follow each position.
Element x y z (fractional)
H  0.0000  0.0000  0.0000  1 F 0.98
Cl  0.3075  0.3075  0.0000  1 H 1.98
F  0.8477  0.8477  0.0000  1 H 0.98


(3)
Crystalline TlTcB2W at its relaxed geometry, computed with GGA-PBE.

Final energy in eV/cell: -32.26
Space-group type: P4/mmm (123)
Energy relative to the lowest polymorph listed for this composition in meV/atom: 0.0
Formation energy in eV/atom: 1.36

abc: 4.1585 4.1585 4.9630
angles: 90.00 90.00 90.00
Closest atoms and distances in Å follow each position.
Element x y z (fractional)
Tl  0.0000  0.0000  0.0000  4 W 2.94, 8 B 3.24
Tc  0.5000  0.5000  0.5000  4 B 2.08
B  0.0000  0.5000  0.5000  2 Tc 2.08
B  0.5000  0.0000  0.5000  2 Tc 2.08
W  0.5000  0.5000  0.0000  2 Tc 2.48